No. 1
A plane-wave DFT calculation with PBE-GGA was carried out for MgSc2ZnAu4 after structural relaxation.

```
MgSc2ZnAu4
1.0
2.352 1.358 7.655
-2.352 1.358 7.655
0.000 -2.716 7.655
Mg Sc Zn Au
1 2 1 4
direct
0.000 0.000 0.000
0.248 0.248 0.248
0.752 0.752 0.752
0.500 0.500 0.500
0.124 0.124 0.124
0.375 0.375 0.375
0.625 0.625 0.625
0.876 0.876 0.876
```

Computed properties:
* space group: No. 166
* formation enthalpy at 0 K: -680 meV per atom
* DFT total energy: -34.08 eV/cell
* theoretical density: 11.0 g/cm³



No. 2
A plane-wave DFT calculation with PBE-GGA was carried out for Mg2Sc2ZnAu4 after structural relaxation.

```
Mg2Sc2ZnAu4
1.0
-3.354 3.354 3.946
3.354 -3.354 3.946
3.354 3.354 -3.946
Mg Sc Zn Au
2 2 1 4
direct
0.187 0.187 0.000
0.813 0.813 0.000
0.250 0.750 0.500
0.750 0.250 0.500
0.500 0.500 0.000
0.237 0.237 0.475
0.237 0.763 0.000
0.763 0.237 0.000
0.763 0.763 0.525
```

Computed properties:
* space group: No. 139
* formation enthalpy at 0 K: -407 meV per atom
* DFT total energy: -33.89 eV/cell
* theoretical density: 9.3 g/cm³



No. 3
A plane-wave DFT calculation with PBE-GGA was carried out for MgAuSe after structural relaxation.

```
MgAuSe
1.0
4.079 0.000 0.000
-2.040 3.533 0.000
0.000 0.000 4.432
Mg Au Se
1 1 1
direct
0.000 0.000 0.000
0.667 0.333 0.661
0.333 0.667 0.303
```

Computed properties:
* formation energy without anion corrections: -0.40 eV/atom
* space group: No. 156
* energy relative to the lowest polymorph listed for this composition: 210 meV per atom
* DFT total energy: -9.56 eV/cell
* theoretical density: 7.8 g/cm³



No. 4
A plane-wave DFT calculation with PBE-GGA was carried out for MgAu2Se after structural relaxation.

```
MgAu2Se
1.0
-1.961 1.970 4.985
1.961 -1.970 4.985
1.961 1.970 -4.985
Mg Au Se
1 2 1
direct
0.000 0.000 0.000
0.246 0.746 0.500
0.754 0.254 0.500
0.500 0.500 0.000
```

Computed properties:
* formation energy without anion corrections: -0.32 eV/atom
* space group: No. 71
* energy relative to the lowest polymorph listed for this composition: 77 meV per atom
* DFT total energy: -12.92 eV/cell
* theoretical density: 10.7 g/cm³



No. 5
A plane-wave DFT calculation with PBE-GGA was carried out for MgAu2Se after structural relaxation.

```
MgAu2Se
1.0
2.029 1.172 5.960
-2.029 1.172 5.960
0.000 -2.343 5.960
Mg Au Se
1 2 1
direct
0.000 0.000 0.000
0.247 0.247 0.247
0.498 0.498 0.498
0.741 0.741 0.741
```

Computed properties:
* formation energy without anion corrections: -0.25 eV/atom
* space group: No. 160
* energy relative to the lowest polymorph listed for this composition: 147 meV per atom
* DFT total energy: -12.64 eV/cell
* theoretical density: 9.7 g/cm³



No. 6
A plane-wave DFT calculation with PBE-GGA was carried out for Mg2AuSe2 after structural relaxation.

```
Mg2AuSe2
1.0
7.505 0.000 0.000
0.000 7.505 0.000
0.000 0.000 3.643
Mg Au Se
4 2 4
direct
0.150 0.350 0.000
0.350 0.850 0.000
0.650 0.150 0.000
0.850 0.650 0.000
0.000 0.000 0.000
0.500 0.500 0.000
0.159 0.659 0.500
0.341 0.159 0.500
0.659 0.841 0.500
0.841 0.341 0.500
```

Computed properties:
* formation energy without anion corrections: -0.52 eV/atom
* space group: No. 127
* energy relative to the lowest polymorph listed for this composition: 0 meV per atom
* DFT total energy: -32.09 eV/cell
* theoretical density: 6.5 g/cm³